No. 1
## Fe4As5 (PBE-GGA)

Data for a relaxed Fe4As5 crystal.

The structure in POSCAR format:
```
Fe4As5
1.0
7.344 0.000 0.000
-3.672 6.360 0.000
0.000 0.000 5.706
Fe As
8 10
Cartesian
0.000 0.000 0.000
0.000 0.000 2.853
-1.451 2.513 1.427
-2.221 3.847 4.280
2.902 0.000 1.427
1.451 2.513 4.280
4.442 0.000 4.280
2.221 3.847 1.427
-0.984 1.705 4.280
-2.688 4.655 1.427
1.968 0.000 4.280
0.984 1.705 1.427
0.000 4.240 0.000
0.000 4.240 2.853
3.672 2.120 0.000
3.672 2.120 2.853
5.375 0.000 1.427
2.688 4.655 4.280
```

## Properties
**N(E_F)**: 16.15 states/eV per cell
**ΔE_f**: 0.248 eV per atom
**Total magnetic moment**: 7.58 μB/f.u.
**Distance to the lowest polymorph of the same formula**: 0 meV/atom
**Uncorrected energy**: -6.0966 eV per atom

No. 2
## Fe8As (PBE-GGA)

Data for a relaxed Fe8As crystal.

The structure in POSCAR format:
```
Fe8As
1.0
-3.700 3.700 1.959
3.700 -3.700 1.959
3.700 3.700 -1.959
Fe As
8 1
Cartesian
2.466 0.000 0.000
4.934 0.000 0.000
0.000 2.466 0.000
2.473 2.473 0.000
1.228 -1.228 1.959
-1.228 1.228 1.959
1.228 1.228 1.959
0.000 4.934 0.000
0.000 0.000 0.000
```

## Properties
**N(E_F)**: 8.65 states/eV per cell
**ΔE_f**: 0.053 eV per atom
**Total magnetic moment**: 18.67 μB/f.u.
**Uncorrected energy**: -7.9862 eV per atom

No. 3
## Fe3As (PBE-GGA)

Data for a relaxed Fe3As crystal.

The structure in POSCAR format:
```
Fe3As
1.0
-1.324 4.093 2.100
1.324 -4.093 2.100
1.324 4.093 -2.100
Fe As
3 1
Cartesian
0.000 0.000 0.000
1.324 1.890 -0.897
0.000 2.203 1.203
1.324 0.000 1.926
```

## Properties
**N(E_F)**: 4.78 states/eV per cell
**ΔE_f**: 0.186 eV per atom
**Total magnetic moment**: 0.01 μB/f.u.
**Uncorrected energy**: -7.3233 eV per atom

No. 4
## Fe2As (PBE-GGA)

Data for a relaxed Fe2As crystal.

The structure in POSCAR format:
```
Fe2As
1.0
3.659 0.000 0.000
0.000 3.659 0.000
0.000 0.000 5.803
Fe As
4 2
Cartesian
0.915 0.915 1.062
0.915 2.745 2.902
2.745 0.915 2.902
2.745 2.745 4.741
0.915 0.915 4.445
2.745 2.745 1.359
```

## Properties
**N(E_F)**: 5.42 states/eV per cell
**ΔE_f**: -0.075 eV per atom
**Total magnetic moment**: 3.34 μB/f.u.
**Uncorrected energy**: -7.2663 eV per atom

No. 5
## Fe4As5 (PBE-GGA)

Data for a relaxed Fe4As5 crystal.

The structure in POSCAR format:
```
Fe4As5
1.0
-4.524 4.524 1.737
4.524 -4.524 1.737
4.524 4.524 -1.737
Fe As
4 5
Cartesian
3.197 0.000 0.000
5.851 0.000 0.000
0.000 3.197 0.000
0.000 5.851 0.000
0.000 0.000 0.000
2.944 2.944 0.000
1.580 -1.580 1.737
-1.580 1.580 1.737
1.580 1.580 1.737
```

## Properties
**N(E_F)**: 5.28 states/eV per cell
**ΔE_f**: 0.362 eV per atom
**Total magnetic moment**: 10.69 μB/f.u.
**Distance to the lowest polymorph of the same formula**: 115 meV/atom
**Uncorrected energy**: -5.9818 eV per atom

No. 6
## Fe6As7 (PBE-GGA)

Data for a relaxed Fe6As7 crystal.

The structure in POSCAR format:
```
Fe6As7
1.0
2.700 1.559 9.075
-2.700 1.559 9.075
0.000 -3.118 9.075
Fe As
6 7
Cartesian
0.000 0.000 2.777
0.000 0.000 5.095
0.000 0.000 9.117
0.000 0.000 18.108
0.000 0.000 22.130
0.000 0.000 24.448
-1.367 -0.789 10.977
0.000 -1.578 16.247
-1.367 0.789 16.247
0.000 0.000 13.612
1.367 -0.789 10.977
0.000 1.578 10.977
1.367 0.789 16.247
```

## Properties
**N(E_F)**: 13.46 states/eV per cell
**ΔE_f**: 0.566 eV per atom
**Total magnetic moment**: 15.43 μB/f.u.
**Uncorrected energy**: -5.8436 eV per atom

No. 7
## FeAs5 (PBE-GGA)

Data for a relaxed FeAs5 crystal.

The structure in POSCAR format:
```
FeAs5
1.0
6.353 0.000 0.000
-3.177 5.502 0.000
0.000 0.000 3.243
Fe As
1 5
Cartesian
0.000 0.000 0.000
-2.228 3.859 1.621
0.949 1.643 1.621
0.000 3.668 0.000
3.177 1.834 0.000
4.456 0.000 1.621
```

## Properties
**N(E_F)**: 4.73 states/eV per cell
**ΔE_f**: 0.287 eV per atom
**Total magnetic moment**: 1.75 μB/f.u.
**Distance to the lowest polymorph of the same formula**: 248 meV/atom
**Uncorrected energy**: -4.9978 eV per atom

No. 8
## FeAs5 (PBE-GGA)

Data for a relaxed FeAs5 crystal.

The structure in POSCAR format:
```
FeAs5
1.0
6.493 -1.546 0.000
6.493 1.546 0.000
-2.594 0.000 6.792
Fe As
1 5
Cartesian
0.000 0.000 0.000
2.633 0.000 5.331
4.861 0.000 1.159
7.186 0.000 2.025
5.787 0.000 6.580
11.172 0.000 4.509
```

## Properties
**N(E_F)**: 2.19 states/eV per cell
**ΔE_f**: 0.095 eV per atom
**Total magnetic moment**: 0.78 μB/f.u.
**Distance to the lowest polymorph of the same formula**: 56 meV/atom
**Uncorrected energy**: -5.1896 eV per atom

No. 9
## Fe2As (PBE-GGA)

Data for a relaxed Fe2As crystal.

The structure in POSCAR format:
```
Fe2As
1.0
3.948 0.000 0.000
-1.974 3.419 0.000
0.000 0.000 2.783
Fe As
2 1
Cartesian
0.000 2.279 0.724
1.974 1.140 2.059
0.000 0.000 0.000
```

## Properties
**N(E_F)**: 2.65 states/eV per cell
**ΔE_f**: 0.096 eV per atom
**Total magnetic moment**: 3.50 μB/f.u.
**Uncorrected energy**: -7.0957 eV per atom

No. 10
## FeAs5 (PBE-GGA)

Data for a relaxed FeAs5 crystal.

The structure in POSCAR format:
```
FeAs5
1.0
2.853 0.000 0.000
0.000 2.853 0.000
0.000 0.000 13.229
Fe As
1 5
Cartesian
0.000 0.000 0.000
0.000 0.000 4.237
0.000 0.000 8.992
1.426 1.426 1.488
1.426 1.426 6.615
1.426 1.426 11.741
```

## Properties
**N(E_F)**: 2.79 states/eV per cell
**ΔE_f**: 0.253 eV per atom
**Total magnetic moment**: 0.76 μB/f.u.
**Distance to the lowest polymorph of the same formula**: 213 meV/atom
**Uncorrected energy**: -5.0323 eV per atom

No. 11
## FeAs2 (PBE-GGA)

Data for a relaxed FeAs2 crystal.

The structure in POSCAR format:
```
FeAs2
1.0
4.083 0.000 0.000
0.000 4.083 0.000
0.000 0.000 3.118
Fe As
1 2
Cartesian
0.000 0.000 0.000
0.000 2.042 1.559
2.042 0.000 1.559
```

## Properties
**N(E_F)**: 3.99 states/eV per cell
**ΔE_f**: 0.295 eV per atom
**Total magnetic moment**: 2.16 μB/f.u.
**Uncorrected energy**: -5.6256 eV per atom

No. 12
## Fe2As (PBE-GGA)

Data for a relaxed Fe2As crystal.

The structure in POSCAR format:
```
Fe2As
1.0
3.612 -2.572 0.000
3.612 2.572 0.000
0.000 0.000 4.209
Fe As
4 2
Cartesian
1.249 0.804 1.052
1.249 -0.804 3.157
5.976 0.804 1.052
5.976 -0.804 3.157
3.612 1.163 1.052
3.612 -1.163 3.157
```

## Properties
**N(E_F)**: 4.43 states/eV per cell
**ΔE_f**: -0.021 eV per atom
**Total magnetic moment**: 4.17 μB/f.u.
**Uncorrected energy**: -7.2124 eV per atom

No. 13
## Fe3As (PBE-GGA)

Data for a relaxed Fe3As crystal.

The structure in POSCAR format:
```
Fe3As
1.0
1.582 -2.168 0.000
1.582 2.168 0.000
0.000 0.000 7.633
Fe As
3 1
Cartesian
0.000 0.000 0.000
1.582 0.000 1.877
1.582 0.000 5.756
0.000 0.000 3.816
```

## Properties
**N(E_F)**: 2.64 states/eV per cell
**ΔE_f**: 0.190 eV per atom
**Total magnetic moment**: 7.60 μB/f.u.
**Uncorrected energy**: -7.3197 eV per atom

No. 14
## FeAs2 (PBE-GGA)

Data for a relaxed FeAs2 crystal.

The structure in POSCAR format:
```
FeAs2
1.0
-1.452 1.452 5.888
1.452 -1.452 5.888
1.452 1.452 -5.888
Fe As
1 2
Cartesian
0.000 0.000 0.000
0.000 0.000 4.427
0.000 0.000 7.349
```

## Properties
**N(E_F)**: 2.90 states/eV per cell
**ΔE_f**: 0.004 eV per atom
**Total magnetic moment**: 0.92 μB/f.u.
**Uncorrected energy**: -5.9169 eV per atom

No. 15
## Fe3As (PBE-GGA)

Data for a relaxed Fe3As crystal.

The structure in POSCAR format:
```
Fe3As
1.0
4.273 0.000 0.000
0.000 5.126 0.000
0.000 0.000 4.444
Fe As
6 2
Cartesian
1.068 0.008 0.761
1.068 2.554 0.761
1.068 3.844 3.008
3.205 1.281 1.436
3.205 2.571 3.683
3.205 5.117 3.683
1.068 1.281 3.011
3.205 3.844 1.433
```

## Properties
**N(E_F)**: 7.59 states/eV per cell
**ΔE_f**: 0.006 eV per atom
**Total magnetic moment**: 6.67 μB/f.u.
**Uncorrected energy**: -7.5039 eV per atom

No. 16
## FeAs2 (PBE-GGA)

Data for a relaxed FeAs2 crystal.

The structure in POSCAR format:
```
FeAs2
1.0
5.024 0.000 0.000
-2.512 4.350 0.000
0.000 0.000 10.829
Fe As
4 8
Cartesian
0.000 2.900 0.591
0.000 2.900 4.823
2.512 1.450 6.006
2.512 1.450 10.237
0.000 0.000 0.000
0.000 0.000 5.414
0.000 1.442 2.707
-1.263 3.630 2.707
1.248 0.721 8.122
1.263 3.630 2.707
3.775 0.721 8.122
2.512 2.909 8.122
```

## Properties
**N(E_F)**: 9.08 states/eV per cell
**ΔE_f**: 0.652 eV per atom
**Total magnetic moment**: 2.57 μB/f.u.
**Uncorrected energy**: -5.2683 eV per atom

No. 17
## Fe3As (PBE-GGA)

Data for a relaxed Fe3As crystal.

The structure in POSCAR format:
```
Fe3As
1.0
4.565 0.000 0.000
0.000 4.565 0.000
0.000 0.000 4.565
Fe As
3 1
Cartesian
0.000 0.000 2.283
0.000 2.283 0.000
2.283 0.000 0.000
0.000 0.000 0.000
```

## Properties
**N(E_F)**: 5.80 states/eV per cell
**ΔE_f**: 1.250 eV per atom
**Total magnetic moment**: 8.97 μB/f.u.
**Uncorrected energy**: -6.2593 eV per atom

No. 18
## FeAs2 (PBE-GGA)

Data for a relaxed FeAs2 crystal.

The structure in POSCAR format:
```
FeAs2
1.0
4.353 0.000 0.000
-2.176 3.770 0.000
0.000 0.000 2.959
Fe As
1 2
Cartesian
0.000 0.000 0.000
0.000 2.513 0.544
2.176 1.257 2.415
```

## Properties
**N(E_F)**: 2.74 states/eV per cell
**ΔE_f**: 0.345 eV per atom
**Total magnetic moment**: 1.76 μB/f.u.
**Uncorrected energy**: -5.5754 eV per atom

No. 19
## Fe3As (PBE-GGA)

Data for a relaxed Fe3As crystal.

The structure in POSCAR format:
```
Fe3As
1.0
0.000 2.871 2.871
2.871 0.000 2.871
2.871 2.871 0.000
Fe As
3 1
Cartesian
0.000 0.000 0.000
1.436 1.436 1.436
4.307 4.307 4.307
2.871 2.871 2.871
```

## Properties
**N(E_F)**: 3.19 states/eV per cell
**ΔE_f**: -0.013 eV per atom
**Total magnetic moment**: 6.07 μB/f.u.
**Uncorrected energy**: -7.5222 eV per atom

No. 20
## FeAs2 (PBE-GGA)

Data for a relaxed FeAs2 crystal.

The structure in POSCAR format:
```
FeAs2
1.0
0.000 3.822 3.822
3.822 0.000 3.822
3.822 3.822 0.000
Fe As
2 4
Cartesian
0.956 0.956 0.956
6.689 6.689 6.689
3.822 1.911 1.911
1.911 3.822 1.911
1.911 1.911 3.822
3.822 3.822 3.822
```

## Properties
**N(E_F)**: 5.05 states/eV per cell
**ΔE_f**: 0.851 eV per atom
**Total magnetic moment**: 3.29 μB/f.u.
**Uncorrected energy**: -5.0698 eV per atom